1.
Entry from the Alexandria database: AlCu after structural relaxation (PBE).

Formation energy from the elements in kcal/mol of atoms: -0.7
Uncorrected energy in eV per atom: -3.95

Unit cell a=7.5281 b=7.5281 c=4.2548 alpha=90.00 beta=90.00 gamma=90.00
Closest atoms and distances in Å follow each position.
Space group P4/m (No. 83)
One atom of each set of equivalent atoms:
Al 0.0712 0.3333 0.0000  3 Cu 2.43-2.56
Al 0.1268 0.7759 0.5000  4 Cu 2.44-2.69, 2 Al 2.72
Cu 0.2615 0.6148 0.0000  5 Al 2.43-2.65, 4 Cu 2.47-2.69
Cu 0.2684 0.4474 0.5000  2 Al 2.44-2.69, 6 Cu 2.47-2.69

=====

2.
Entry from the Alexandria database: Dy4In2Ag3 after structural relaxation (PBE).

Formation energy from the elements in kcal/mol of atoms: -7.6
Uncorrected energy in eV per atom: -3.93

Unit cell a=10.1224 b=4.9202 c=9.1779 alpha=90.00 beta=105.07 gamma=90.00
Closest atoms and distances in Å follow each position.
Space group C2/m (No. 12)
One atom of each set of equivalent atoms:
Dy 0.0596 0.0000 0.3463  4 Ag 2.96-3.15, 3 In 3.20-3.23
Dy 0.1384 0.5000 0.8954  3 Ag 3.02-3.10, 3 In 3.27-3.32
In 0.2290 0.5000 0.2643  3 Ag 3.03-3.15, 6 Dy 3.20-3.32
Ag 0.0000 0.0000 0.0000  6 Dy 3.08-3.10
Ag 0.1372 0.5000 0.5665  1 Ag 2.73, 2 Dy 2.96-3.02, 2 In 3.03

=====

3.
Entry from the Alexandria database: Sm8P6Se after structural relaxation (PBE).

Energy relative to the elements, uncorrected in eV per atom: -1.266
Uncorrected energy in eV per atom: -6.18

Unit cell a=10.4663 b=10.4663 c=4.2485 alpha=90.00 beta=90.00 gamma=120.00
Closest atoms and distances in Å follow each position.
Space group P-3 (No. 147)
One atom of each set of equivalent atoms:
Sm 0.0333 0.3447 0.2412  4 P 2.75-2.90
Sm 0.3333 0.6667 0.7526  6 P 2.92-2.95
P 0.1355 0.6584 0.2568  6 Sm 2.75-2.95
Se 0.0000 0.0000 0.0000  6 Sm 3.60

=====

4.
Entry from the Alexandria database: Li2ReSnN4 after structural relaxation (PBE).

Energy relative to the elements, uncorrected in eV per atom: -0.205
Uncorrected energy in eV per atom: -6.90

Unit cell a=6.7394 b=5.8606 c=5.4852 alpha=90.00 beta=90.00 gamma=90.00
Closest atoms and distances in Å follow each position.
Space group Pmn2_1 (No. 31)
One atom of each set of equivalent atoms:
Li 0.2486 0.1635 0.0000  4 N 2.09-2.17
Re 0.0000 0.3256 0.5056  4 N 1.84-1.86
Sn 0.0000 0.6607 0.0005  4 N 2.16-2.21
N 0.0000 0.3224 0.8441  1 Re 1.86
N 0.0000 0.6232 0.4012  1 Re 1.84
N 0.2251 0.1763 0.3910  1 Re 1.86

=====

5.
Entry from the Alexandria database: ErZn4Fe after structural relaxation (PBE).

Formation energy from the elements in kcal/mol of atoms: -2.7
Uncorrected energy in eV per atom: -3.14

Unit cell a=7.2256 b=7.2256 c=7.2256 alpha=90.00 beta=90.00 gamma=90.00
Closest atoms and distances in Å follow each position.
Space group F-43m (No. 216)
One atom of each set of equivalent atoms:
Er 0.0000 0.0000 0.0000  12 Zn 3.00, 4 Fe 3.13
Zn 0.1237 0.1237 0.3763  6 Zn 2.53-2.58
Fe 0.2500 0.2500 0.7500  12 Zn 2.99, 4 Er 3.13

=====

6.
Entry from the Alexandria database: CsRb2I after structural relaxation (PBE).

Energy relative to the elements, uncorrected in eV per atom: -0.668
Uncorrected energy in eV per atom: -1.75

Unit cell a=5.1680 b=5.1680 c=42.3145 alpha=90.00 beta=90.00 gamma=120.00
Closest atoms and distances in Å follow each position.
Space group R-3m (No. 166, hexagonal axes)
One atom of each set of equivalent atoms:
Cs 0.0000 0.0000 0.0000  2 Rb 4.80, 6 Cs 5.17
Rb 0.0000 0.0000 0.1134  3 I 3.74
I 0.0000 0.0000 0.5000  6 Rb 3.74

=====

7.
Entry from the Alexandria database: Tb2TmHg after structural relaxation (PBE).

Formation energy from the elements in kcal/mol of atoms: -3.4
Uncorrected energy in eV per atom: -3.66

Unit cell a=3.5978 b=3.5978 c=31.7068 alpha=90.00 beta=90.00 gamma=120.00
Closest atoms and distances in Å follow each position.
Space group R-3m (No. 166, hexagonal axes)
One atom of each set of equivalent atoms:
Tb 0.0000 0.0000 0.2437  3 Hg 3.21, 3 Tm 3.52
Tm 0.0000 0.0000 0.0000  6 Tb 3.52, 6 Tm 3.60
Hg 0.0000 0.0000 0.5000  6 Tb 3.21

=====

8.
Entry from the Alexandria database: FeReHS2 after structural relaxation (PBE).

Uncorrected energy in eV per atom: -5.53

Unit cell a=4.4883 b=4.4883 c=5.1108 alpha=90.00 beta=90.00 gamma=90.00
Closest atoms and distances in Å follow each position.
Space group P4/mmm (No. 123)
One atom of each set of equivalent atoms:
Fe 0.0000 0.0000 0.0000  2 Re 2.56
Re 0.0000 0.0000 0.5000  4 S 2.24
H 0.5000 0.5000 0.0000  4 Fe 3.17, 8 S 3.40
S 0.0000 0.5000 0.5000  2 Re 2.24